KTaCo: optimized geometry, PBE-GGA.

POSCAR file:
```
KTaCo
1.0
4.992 0.000 0.000
-2.496 4.323 0.000
0.000 0.000 2.702
Co Ta K
1 1 1
Direct
0.000 0.000 0.981 Co
0.667 0.333 0.689 Ta
0.333 0.667 0.330 K
```

Properties
symmetry	No. 156
E_tot	-15.49	eV per cell
energy of formation from the pure elements	4.57	eV per formula unit
relative energy among the computed polymorphs	757	meV/atom